This record from Alexandria via LeMat-Bulk describes CaRe2W after structural relaxation. The functional is PBE.

The structure in POSCAR format:
```
CaRe2W
1.0
-3.6119 1.9867 1.8475
-0.6516 -2.3361 1.2381
2.8942 0.8486 4.7456
Re Ca W
2 1 1
Cartesian
0.0286 -0.0477 0.1072
1.0927 -0.6960 2.8846
-0.1241 -0.1223 5.4115
-1.2453 0.6215 2.4197
```

## Properties
- calculated formation energy (eV/atom) = 0.60
- polymorph energy (0 for the lowest one) (eV/atom) = 0.135
- space-group type = P2/m (10)
- electronic total energy (eV/atom) = -9.360